(1)
# MgGe2B2 PBE optimized geometry
data_MgGe2B2
_cell_length_a 6.339
_cell_length_b 6.339
_cell_length_c 3.678
_cell_angle_alpha 90.00
_cell_angle_beta 90.00
_cell_angle_gamma 90.00
_symmetry_space_group_name_H-M 'P 1'
_symmetry_Int_Tables_number 1
_symmetry_space_group_name_Hall 'P 1'
loop_
_atom_site_label
_atom_site_type_symbol
_atom_site_fract_x
_atom_site_fract_y
_atom_site_fract_z
_atom_site_occupancy
Mg1 Mg 0.000 0.000 0.000 1
Mg2 Mg 0.500 0.500 0.000 1
Ge1 Ge 0.203 0.297 0.500 1
Ge2 Ge 0.297 0.797 0.500 1
Ge3 Ge 0.703 0.203 0.500 1
Ge4 Ge 0.797 0.703 0.500 1
B1 B 0.091 0.409 0.000 1
B2 B 0.409 0.909 0.000 1
B3 B 0.591 0.091 0.000 1
B4 B 0.909 0.591 0.000 1
# Offset from the most stable computed form = 0.0 meV per atom
# Total DFT energy (no corrections) = -4.35 eV/atom
# Space group = P4/mbm (127)
# Formation energy from the elements = 11.16 kcal/mol of atoms


(2)
# CsSb2TePt PBE optimized geometry
data_CsSb2TePt
_cell_length_a 5.333
_cell_length_b 5.333
_cell_length_c 5.942
_cell_angle_alpha 90.00
_cell_angle_beta 90.00
_cell_angle_gamma 90.00
_symmetry_space_group_name_H-M 'P 1'
_symmetry_Int_Tables_number 1
_symmetry_space_group_name_Hall 'P 1'
loop_
_atom_site_label
_atom_site_type_symbol
_atom_site_fract_x
_atom_site_fract_y
_atom_site_fract_z
_atom_site_occupancy
Cs1 Cs 0.000 0.000 0.000 1
Sb1 Sb 0.000 0.500 0.500 1
Sb2 Sb 0.500 0.000 0.500 1
Te1 Te 0.500 0.500 0.000 1
Pt1 Pt 0.500 0.500 0.500 1
# Offset from the most stable computed form = 0.0 meV per atom
# Total DFT energy (no corrections) = -3.71 eV/atom
# Space group = P4/mmm (123)


(3)
# RbNpHg2Te4 PBE optimized geometry
data_RbNpHg2Te4
_cell_length_a 7.648
_cell_length_b 7.648
_cell_length_c 7.648
_cell_angle_alpha 121.08
_cell_angle_beta 106.06
_cell_angle_gamma 101.96
_symmetry_space_group_name_H-M 'P 1'
_symmetry_Int_Tables_number 1
_symmetry_space_group_name_Hall 'P 1'
loop_
_atom_site_label
_atom_site_type_symbol
_atom_site_fract_x
_atom_site_fract_y
_atom_site_fract_z
_atom_site_occupancy
Rb1 Rb 0.000 0.000 0.000 1
Np1 Np 0.500 0.500 0.000 1
Hg1 Hg 0.329 0.829 0.500 1
Hg2 Hg 0.671 0.171 0.500 1
Te1 Te 0.121 0.084 0.581 1
Te2 Te 0.497 0.916 0.037 1
Te3 Te 0.503 0.540 0.419 1
Te4 Te 0.879 0.460 0.963 1
# Total DFT energy (no corrections) = -3.76 eV/atom
# Space group = I222 (23)


(4)
# Os3Rh PBE optimized geometry
data_Os3Rh
_cell_length_a 2.722
_cell_length_b 2.722
_cell_length_c 7.722
_cell_angle_alpha 90.00
_cell_angle_beta 90.00
_cell_angle_gamma 90.00
_symmetry_space_group_name_H-M 'P 1'
_symmetry_Int_Tables_number 1
_symmetry_space_group_name_Hall 'P 1'
loop_
_atom_site_label
_atom_site_type_symbol
_atom_site_fract_x
_atom_site_fract_y
_atom_site_fract_z
_atom_site_occupancy
Os1 Os 0.000 0.000 0.000 1
Os2 Os 0.500 0.500 0.247 1
Os3 Os 0.500 0.500 0.753 1
Rh1 Rh 0.000 0.000 0.500 1
# Total DFT energy (no corrections) = -10.14 eV/atom
# Space group = P4/mmm (123)
# Formation energy from the elements = 2.70 kcal/mol of atoms


(5)
# La2Tm6Th PBE optimized geometry
data_La2Tm6Th
_cell_length_a 9.756
_cell_length_b 9.756
_cell_length_c 3.481
_cell_angle_alpha 90.01
_cell_angle_beta 90.01
_cell_angle_gamma 60.05
_symmetry_space_group_name_H-M 'P 1'
_symmetry_Int_Tables_number 1
_symmetry_space_group_name_Hall 'P 1'
loop_
_atom_site_label
_atom_site_type_symbol
_atom_site_fract_x
_atom_site_fract_y
_atom_site_fract_z
_atom_site_occupancy
La1 La 0.167 0.167 0.000 1
La2 La 0.833 0.833 0.000 1
Tm1 Tm 0.170 0.830 0.500 1
Tm2 Tm 0.171 0.500 0.502 1
Tm3 Tm 0.500 0.171 0.502 1
Tm4 Tm 0.500 0.829 0.498 1
Tm5 Tm 0.829 0.500 0.498 1
Tm6 Tm 0.830 0.170 0.500 1
Th1 Th 0.500 0.500 0.000 1
# Offset from the most stable computed form = 0.0 meV per atom
# Total DFT energy (no corrections) = -4.83 eV/atom
# Space group = C2/m (12)
# Formation energy from the elements = 1.67 kcal/mol of atoms


(6)
# Tb4Ga16Ni3 PBE optimized geometry
data_Tb4Ga16Ni3
_cell_length_a 6.105
_cell_length_b 6.105
_cell_length_c 11.022
_cell_angle_alpha 90.00
_cell_angle_beta 90.00
_cell_angle_gamma 90.00
_symmetry_space_group_name_H-M 'P 1'
_symmetry_Int_Tables_number 1
_symmetry_space_group_name_Hall 'P 1'
loop_
_atom_site_label
_atom_site_type_symbol
_atom_site_fract_x
_atom_site_fract_y
_atom_site_fract_z
_atom_site_occupancy
Tb1 Tb 0.000 0.500 0.193 1
Tb2 Tb 0.000 0.500 0.807 1
Tb3 Tb 0.500 0.000 0.193 1
Tb4 Tb 0.500 0.000 0.807 1
Ga1 Ga 0.000 0.000 0.199 1
Ga2 Ga 0.000 0.000 0.801 1
Ga3 Ga 0.218 0.218 0.000 1
Ga4 Ga 0.218 0.782 0.000 1
Ga5 Ga 0.246 0.246 0.382 1
Ga6 Ga 0.246 0.246 0.618 1
Ga7 Ga 0.246 0.754 0.382 1
Ga8 Ga 0.246 0.754 0.618 1
Ga9 Ga 0.500 0.500 0.225 1
Ga10 Ga 0.500 0.500 0.775 1
Ga11 Ga 0.754 0.246 0.382 1
Ga12 Ga 0.754 0.246 0.618 1
Ga13 Ga 0.754 0.754 0.382 1
Ga14 Ga 0.754 0.754 0.618 1
Ga15 Ga 0.782 0.218 0.000 1
Ga16 Ga 0.782 0.782 0.000 1
Ni1 Ni 0.000 0.500 0.500 1
Ni2 Ni 0.500 0.000 0.500 1
Ni3 Ni 0.500 0.500 0.000 1
# Total DFT energy (no corrections) = -4.18 eV/atom
# Space group = P4/mmm (123)
# Formation energy from the elements = -11.97 kcal/mol of atoms